Record 1
PmPrYSn PBE relaxed; DFT formation energy = -0.249 eV per atom; spin magnetization = 0.00 μB per formula unit; symmetry = No. 216; density = 6.9 g/cm³
1.0
-0.351 -0.737 5.467
-1.336 -4.961 2.040
3.808 -3.023 2.631
Pr Y Pm Sn
1 1 1 1
Cartesian
0.530 -2.180 2.535 Pr
1.591 -6.541 7.604 Y
0.000 0.000 0.000 Pm
1.061 -4.361 5.069 Sn

---

Record 2
TlSn2H PBE relaxed; spin magnetization = 0.00 μB per formula unit; symmetry = No. 225; energy above the lowest structure with this stoichiometry = 187.0 meV/atom; density = 8.0 g/cm³
1.0
0.000 3.589 3.589
3.589 0.000 3.589
3.589 3.589 0.000
Sn H Tl
2 1 1
Cartesian
5.383 5.383 5.383 Sn
1.794 1.794 1.794 Sn
0.000 0.000 0.000 H
3.589 3.589 3.589 Tl

---

Please write out number 1 again, unchanged.
PmPrYSn PBE relaxed; DFT formation energy = -0.249 eV per atom; spin magnetization = 0.00 μB per formula unit; symmetry = No. 216; density = 6.9 g/cm³
1.0
-0.351 -0.737 5.467
-1.336 -4.961 2.040
3.808 -3.023 2.631
Pr Y Pm Sn
1 1 1 1
Cartesian
0.530 -2.180 2.535 Pr
1.591 -6.541 7.604 Y
0.000 0.000 0.000 Pm
1.061 -4.361 5.069 Sn

---

Q: Among the records above, which one has the highest density?
A: TlSn2H

---

Q: Which of these has the lowest density?
A: PmPrYSn